1.
Below is a geometry-optimized DyHo2Er4Mg structure, with properties calculated at the PBE level.

abc: 6.293 6.293 11.429
angles: 106.42 106.42 33.67
Fractional positions:
Dy (0.000, 0.000, 0.000)
Ho (0.476, 0.476, 0.727)
Ho (0.524, 0.524, 0.273)
Er (0.237, 0.237, 0.867)
Er (0.281, 0.281, 0.390)
Er (0.719, 0.719, 0.610)
Er (0.763, 0.763, 0.133)
Mg (0.000, 0.000, 0.500)

Calculated values
The value obtained for the uncorrected energy is -4.182 eV/atom. Its spin magnetization is 0.0001 μB/atom. The symmetry is C2/m. The crystal system is monoclinic.

***

2.
Below is a geometry-optimized DyHoErMg structure, with properties calculated at the PBE level.

abc: 5.469 5.469 5.469
angles: 60.00 60.00 60.00
Fractional positions:
Dy (0.000, 0.000, 0.000)
Ho (0.500, 0.500, 0.500)
Er (0.750, 0.750, 0.750)
Mg (0.250, 0.250, 0.250)

Calculated values
Its spin magnetization is 0.0010 μB/atom. The symmetry is F-43m. The crystal system is cubic. As for the energy above the most stable polymorph in this dataset: 71 meV per atom.

***

3.
Below is a geometry-optimized DyHo5Er2Mg structure, with properties calculated at the PBE level.

abc: 10.292 10.292 10.419
angles: 90.00 90.00 149.75
Fractional positions:
Dy (0.205, 0.795, 0.500)
Dy (0.795, 0.205, 0.000)
Ho (0.014, 0.986, 0.500)
Ho (0.290, 0.710, 0.201)
Ho (0.290, 0.710, 0.799)
Ho (0.383, 0.617, 0.500)
Ho (0.500, 0.500, 0.249)
Ho (0.500, 0.500, 0.749)
Ho (0.617, 0.383, 0.000)
Ho (0.710, 0.290, 0.299)
Ho (0.710, 0.290, 0.701)
Ho (0.986, 0.014, 0.000)
Er (0.114, 0.886, 0.213)
Er (0.114, 0.886, 0.787)
Er (0.886, 0.114, 0.287)
Er (0.886, 0.114, 0.713)
Mg (0.405, 0.595, 0.999)
Mg (0.595, 0.405, 0.499)

Calculated values
The value obtained for the uncorrected energy is -4.138 eV/atom. Its spin magnetization is 0.0002 μB/atom. The symmetry is Cmc2_1. The crystal system is orthorhombic.